No. 1
A plane-wave DFT calculation with PBE-GGA was carried out for a relaxed Tb2B2O5 crystal.

Values from the calculation:
**Energy**: -6.082 eV per atom
**Relative energy among the computed polymorphs**: 1145 meV/atom
**Magnetization**: 1.0 μB per cell

Cell lengths 3.6156, 3.6156, 8.9608 Å; angles 90.00, 90.00, 90.00 degrees
With the nearest neighbours (Å) after each atom.
Space group P4/mmm (No. 123)
One atom of each set of equivalent atoms:
Tb1 0.0000 0.0000 0.2465 (multiplicity 2)  5 O 2.15-2.21
B1 0.5000 0.5000 0.0000 (multiplicity 1)  4 O 2.56
B2 0.5000 0.5000 0.5000 (multiplicity 1)  8 O 2.12
O1 0.0000 0.0000 0.0000 (multiplicity 1)  2 Tb 2.21
O2 0.0000 0.5000 0.3760 (multiplicity 4)  2 B 2.12, 2 Tb 2.15, 1 O 2.22

***

No. 2
A plane-wave DFT calculation with PBE-GGA was carried out for a relaxed Sr2CuAu2 crystal.

Values from the calculation:
**Energy**: -3.257 eV per atom
**Relative energy among the computed polymorphs**: 0 meV/atom

Cell lengths 10.1062, 6.5690, 4.3008 Å; angles 90.00, 115.01, 90.00 degrees
With the nearest neighbours (Å) after each atom.
Space group C2/m (No. 12)
One atom of each set of equivalent atoms:
Sr1 0.2043 0.0000 0.2039 (multiplicity 4)  6 Au 3.20-3.26, 2 Cu 3.45-3.46
Cu1 0.0000 0.5000 0.0000 (multiplicity 2)  4 Au 2.74
Au1 0.0000 0.2406 0.5000 (multiplicity 4)  2 Cu 2.74

***

No. 3
A plane-wave DFT calculation with PBE-GGA was carried out for a relaxed Pr3Mg3Ir2Pd crystal.

Values from the calculation:
**Energy**: -5.264 eV per atom
**Magnetization**: 0.0 μB per cell

Cell lengths 7.5647, 7.5647, 4.1133 Å; angles 90.00, 90.00, 120.00 degrees
With the nearest neighbours (Å) after each atom.
Space group P-62m (No. 189)
One atom of each set of equivalent atoms:
Pr1 0.0000 0.5817 0.0000 (multiplicity 3)  4 Ir 3.06, 1 Pd 3.16, 2 Mg 3.28
Mg1 0.0000 0.2440 0.5000 (multiplicity 3)  2 Pd 2.76, 2 Ir 2.92
Ir1 0.3333 0.6667 0.5000 (multiplicity 2)  3 Mg 2.92, 6 Pr 3.06
Pd1 0.0000 0.0000 0.0000 (multiplicity 1)  6 Mg 2.76

***

No. 4
A plane-wave DFT calculation with PBE-GGA was carried out for a relaxed HfMgFeB crystal.

Values from the calculation:
**Energy**: -6.109 eV per atom
**Relative energy among the computed polymorphs**: 26 meV/atom
**Magnetization**: 4.0 μB per cell

Cell lengths 5.9632, 5.9632, 5.9632 Å; angles 90.00, 90.00, 90.00 degrees
With the nearest neighbours (Å) after each atom.
Space group F-43m (No. 216)
One atom of each set of equivalent atoms:
Hf1 0.0000 0.0000 0.0000 (multiplicity 4)  4 Fe 2.58, 4 Mg 2.58
Mg1 0.2500 0.2500 0.2500 (multiplicity 4)  4 Hf 2.58, 4 B 2.58
Fe1 0.2500 0.2500 0.7500 (multiplicity 4)  4 Hf 2.58, 4 B 2.58
B1 0.0000 0.0000 0.5000 (multiplicity 4)  4 Fe 2.58, 4 Mg 2.58